Version w
Computed, not measured: an optimized crystal structure of Ba2SrPt at the PBEsol level of DFT. Values from VASP.

```
&SYSTEM
  ibrav = 0, nat = 4, ntyp = 3
/
ATOMIC_SPECIES
Ba 137.33 Ba.upf
Sr 87.62 Sr.upf
Pt 195.08 Pt.upf
CELL_PARAMETERS angstrom
-1.930 2.706 7.596
1.930 -2.706 7.596
1.930 2.706 -7.596
ATOMIC_POSITIONS angstrom
Ba 0.000 0.000 2.470
Ba 0.000 0.000 12.722
Sr 0.000 2.706 0.000
Pt 1.930 0.000 0.000
```

Computed properties:
crystal system	orthorhombic

Version x
Computed, not measured: an optimized crystal structure of Ba2SrPt at the PBEsol level of DFT. Values from VASP.

```
&SYSTEM
  ibrav = 0, nat = 4, ntyp = 3
/
ATOMIC_SPECIES
Ba 137.33 Ba.upf
Sr 87.62 Sr.upf
Pt 195.08 Pt.upf
CELL_PARAMETERS angstrom
5.222 0.000 0.000
0.000 5.222 0.000
0.000 0.000 4.975
ATOMIC_POSITIONS angstrom
Ba 0.000 2.611 0.000
Ba 2.611 0.000 0.000
Sr 0.000 0.000 2.487
Pt 2.611 2.611 2.487
```

Computed properties:
crystal system	tetragonal

The winner here is version w, beating the second structure by 289 meV per atom.

Version w
Computed, not measured: an optimized crystal structure of Ba2SrPt at the PBEsol level of DFT. Values from VASP.

```
&SYSTEM
  ibrav = 0, nat = 4, ntyp = 3
/
ATOMIC_SPECIES
Ba 137.33 Ba.upf
Sr 87.62 Sr.upf
Pt 195.08 Pt.upf
CELL_PARAMETERS angstrom
5.684 -2.074 0.000
5.684 2.074 0.000
-3.018 0.000 7.225
ATOMIC_POSITIONS angstrom
Ba 0.000 0.000 0.000
Ba -0.004 0.000 4.514
Sr 8.387 0.000 2.236
Pt 5.214 0.000 2.253
```

Computed properties:
crystal system	monoclinic

Version x
Computed, not measured: an optimized crystal structure of Ba2SrPt at the PBEsol level of DFT. Values from VASP.

```
&SYSTEM
  ibrav = 0, nat = 4, ntyp = 3
/
ATOMIC_SPECIES
Ba 137.33 Ba.upf
Sr 87.62 Sr.upf
Pt 195.08 Pt.upf
CELL_PARAMETERS angstrom
4.414 0.000 0.000
0.000 3.175 6.638
0.000 -3.175 6.638
ATOMIC_POSITIONS angstrom
Ba 0.000 0.000 0.000
Ba 2.207 0.000 4.552
Sr 0.000 0.000 9.226
Pt 2.207 0.000 11.182
```

Computed properties:
crystal system	orthorhombic

The winner here is version x, beating the second structure by 19 meV per atom.

Version w
Computed, not measured: an optimized crystal structure of Ba2SrPt at the PBEsol level of DFT. Values from VASP.

```
&SYSTEM
  ibrav = 0, nat = 4, ntyp = 3
/
ATOMIC_SPECIES
Ba 137.33 Ba.upf
Sr 87.62 Sr.upf
Pt 195.08 Pt.upf
CELL_PARAMETERS angstrom
3.033 -7.038 0.000
3.033 7.038 0.000
0.000 0.000 4.454
ATOMIC_POSITIONS angstrom
Ba 3.033 4.964 0.000
Ba 3.033 -4.964 0.000
Sr 3.033 0.000 2.227
Pt 0.000 0.000 2.227
```

Computed properties:
crystal system	orthorhombic

Version x
Computed, not measured: an optimized crystal structure of Ba2SrPt at the PBEsol level of DFT. Values from VASP.

```
&SYSTEM
  ibrav = 0, nat = 4, ntyp = 3
/
ATOMIC_SPECIES
Ba 137.33 Ba.upf
Sr 87.62 Sr.upf
Pt 195.08 Pt.upf
CELL_PARAMETERS angstrom
2.225 1.285 10.817
-2.225 1.285 10.817
0.000 -2.570 10.817
ATOMIC_POSITIONS angstrom
Ba 0.000 0.000 7.114
Ba 0.000 0.000 25.337
Sr 0.000 0.000 0.000
Pt 0.000 0.000 16.226
```

Computed properties:
crystal system	trigonal

The winner here is version w, beating the second structure by 40 meV per atom.

Version w
Computed, not measured: an optimized crystal structure of BaSrPt at the PBEsol level of DFT. Values from VASP.

```
&SYSTEM
  ibrav = 0, nat = 3, ntyp = 3
/
ATOMIC_SPECIES
Ba 137.33 Ba.upf
Sr 87.62 Sr.upf
Pt 195.08 Pt.upf
CELL_PARAMETERS angstrom
0.000 3.725 3.725
3.725 0.000 3.725
3.725 3.725 0.000
ATOMIC_POSITIONS angstrom
Ba 0.000 0.000 0.000
Sr 3.725 3.725 3.725
Pt 5.587 5.587 5.587
```

Computed properties:
crystal system	cubic

Version x
Computed, not measured: an optimized crystal structure of BaSrPt at the PBEsol level of DFT. Values from VASP.

```
&SYSTEM
  ibrav = 0, nat = 3, ntyp = 3
/
ATOMIC_SPECIES
Ba 137.33 Ba.upf
Sr 87.62 Sr.upf
Pt 195.08 Pt.upf
CELL_PARAMETERS angstrom
-1.893 1.893 7.240
1.893 -1.893 7.240
1.893 1.893 -7.240
ATOMIC_POSITIONS angstrom
Ba 0.000 0.000 0.000
Sr 0.000 0.000 10.976
Pt 0.000 0.000 5.403
```

Computed properties:
crystal system	tetragonal

The winner here is version w, beating the second structure by 52 meV per atom.

Version w
Computed, not measured: an optimized crystal structure of BaTe2Pt at the PBEsol level of DFT. Values from VASP.

```
&SYSTEM
  ibrav = 0, nat = 4, ntyp = 3
/
ATOMIC_SPECIES
Ba 137.33 Ba.upf
Te 127.60 Te.upf
Pt 195.08 Pt.upf
CELL_PARAMETERS angstrom
0.000 3.784 3.784
3.784 0.000 3.784
3.784 3.784 0.000
ATOMIC_POSITIONS angstrom
Ba 0.000 0.000 0.000
Te 1.892 1.892 1.892
Te 3.784 3.784 3.784
Pt 5.677 5.677 5.677
```

Computed properties:
crystal system	cubic

Version x
Computed, not measured: an optimized crystal structure of BaTe2Pt at the PBEsol level of DFT. Values from VASP.

```
&SYSTEM
  ibrav = 0, nat = 4, ntyp = 3
/
ATOMIC_SPECIES
Ba 137.33 Ba.upf
Te 127.60 Te.upf
Pt 195.08 Pt.upf
CELL_PARAMETERS angstrom
6.083 -2.099 0.000
6.083 2.099 0.000
-0.010 0.000 5.339
ATOMIC_POSITIONS angstrom
Ba 0.000 0.000 0.000
Te 2.331 0.000 2.673
Te 5.600 0.000 2.668
Pt 10.038 0.000 2.669
```

Computed properties:
crystal system	monoclinic

The winner here is version x, beating the second structure by 687 meV per atom.

Version w
Computed, not measured: an optimized crystal structure of Ba2PtW at the PBEsol level of DFT. Values from VASP.

```
&SYSTEM
  ibrav = 0, nat = 4, ntyp = 3
/
ATOMIC_SPECIES
Ba 137.33 Ba.upf
Pt 195.08 Pt.upf
W 183.84 W.upf
CELL_PARAMETERS angstrom
3.945 0.000 0.000
0.000 3.945 0.000
0.000 0.000 7.183
ATOMIC_POSITIONS angstrom
Ba 0.000 0.000 1.682
Ba 0.000 0.000 5.500
Pt 1.973 1.973 0.000
W 1.973 1.973 3.591
```

Computed properties:
crystal system	tetragonal

Version x
Computed, not measured: an optimized crystal structure of Ba2PtW at the PBEsol level of DFT. Values from VASP.

```
&SYSTEM
  ibrav = 0, nat = 4, ntyp = 3
/
ATOMIC_SPECIES
Ba 137.33 Ba.upf
Pt 195.08 Pt.upf
W 183.84 W.upf
CELL_PARAMETERS angstrom
0.000 3.858 3.858
3.858 0.000 3.858
3.858 3.858 0.000
ATOMIC_POSITIONS angstrom
Ba 1.929 1.929 1.929
Ba 5.786 5.786 5.786
Pt 0.000 0.000 0.000
W 3.858 3.858 3.858
```

Computed properties:
crystal system	cubic

The winner here is version w, beating the second structure by 111 meV per atom.

Version w
Computed, not measured: an optimized crystal structure of BaYPt2 at the PBEsol level of DFT. Values from VASP.

```
&SYSTEM
  ibrav = 0, nat = 4, ntyp = 3
/
ATOMIC_SPECIES
Ba 137.33 Ba.upf
Y 88.91 Y.upf
Pt 195.08 Pt.upf
CELL_PARAMETERS angstrom
3.558 0.000 0.000
0.000 3.558 0.000
0.000 0.000 7.458
ATOMIC_POSITIONS angstrom
Ba 0.000 0.000 0.000
Y 0.000 0.000 3.729
Pt 1.779 1.779 2.232
Pt 1.779 1.779 5.226
```

Computed properties:
crystal system	tetragonal

Version x
Computed, not measured: an optimized crystal structure of BaYPt2 at the PBEsol level of DFT. Values from VASP.

```
&SYSTEM
  ibrav = 0, nat = 4, ntyp = 3
/
ATOMIC_SPECIES
Ba 137.33 Ba.upf
Y 88.91 Y.upf
Pt 195.08 Pt.upf
CELL_PARAMETERS angstrom
4.225 0.000 0.000
0.000 4.225 0.000
0.000 0.000 5.976
ATOMIC_POSITIONS angstrom
Ba 0.000 0.000 0.000
Y 2.113 2.113 2.988
Pt 0.000 0.000 2.988
Pt 2.113 2.113 0.000
```

Computed properties:
crystal system	tetragonal

Version y
Computed, not measured: an optimized crystal structure of BaYPt2 at the PBEsol level of DFT. Values from VASP.

```
&SYSTEM
  ibrav = 0, nat = 4, ntyp = 3
/
ATOMIC_SPECIES
Ba 137.33 Ba.upf
Y 88.91 Y.upf
Pt 195.08 Pt.upf
CELL_PARAMETERS angstrom
3.927 0.000 0.000
0.000 4.355 0.000
-1.956 0.000 6.022
ATOMIC_POSITIONS angstrom
Ba 0.000 0.000 0.000
Y 0.002 2.177 3.247
Pt 1.964 2.177 1.136
Pt 1.965 0.000 2.855
```

Computed properties:
crystal system	monoclinic

The winner here is version w, beating the second structure by 109 meV per atom.

Version w
Computed, not measured: an optimized crystal structure of BaRe3 at the PBEsol level of DFT. Values from VASP.

```
&SYSTEM
  ibrav = 0, nat = 4, ntyp = 2
/
ATOMIC_SPECIES
Ba 137.33 Ba.upf
Re 186.21 Re.upf
CELL_PARAMETERS angstrom
4.685 2.705 0.941
-4.685 2.705 0.941
0.000 -5.409 0.941
ATOMIC_POSITIONS angstrom
Ba 0.000 0.000 0.000
Re -2.342 -1.352 0.941
Re -2.342 1.352 1.881
Re 0.000 2.705 0.941
```

Computed properties:
crystal system	trigonal

Version x
Computed, not measured: an optimized crystal structure of BaRe3 at the PBEsol level of DFT. Values from VASP.

```
&SYSTEM
  ibrav = 0, nat = 4, ntyp = 2
/
ATOMIC_SPECIES
Ba 137.33 Ba.upf
Re 186.21 Re.upf
CELL_PARAMETERS angstrom
4.173 0.000 0.000
0.000 4.173 0.000
0.000 0.000 4.173
ATOMIC_POSITIONS angstrom
Ba 0.000 0.000 0.000
Re 0.000 2.087 2.087
Re 2.087 0.000 2.087
Re 2.087 2.087 0.000
```

Computed properties:
crystal system	cubic

The winner here is version w, beating the second structure by 526 meV per atom.

Version w
Computed, not measured: an optimized crystal structure of Ba2ReRh at the PBEsol level of DFT. Values from VASP.

```
&SYSTEM
  ibrav = 0, nat = 4, ntyp = 3
/
ATOMIC_SPECIES
Ba 137.33 Ba.upf
Re 186.21 Re.upf
Rh 102.91 Rh.upf
CELL_PARAMETERS angstrom
4.243 0.000 0.000
0.000 2.504 5.666
0.000 -2.504 5.666
ATOMIC_POSITIONS angstrom
Ba 0.000 0.000 0.000
Ba 2.121 0.000 3.295
Re 0.000 0.000 7.830
Rh 2.121 0.000 6.796
```

Computed properties:
crystal system	orthorhombic

Version x
Computed, not measured: an optimized crystal structure of Ba2ReRh at the PBEsol level of DFT. Values from VASP.

```
&SYSTEM
  ibrav = 0, nat = 4, ntyp = 3
/
ATOMIC_SPECIES
Ba 137.33 Ba.upf
Re 186.21 Re.upf
Rh 102.91 Rh.upf
CELL_PARAMETERS angstrom
3.413 0.000 0.000
0.000 4.287 0.000
0.000 0.000 6.936
ATOMIC_POSITIONS angstrom
Ba 0.000 0.000 1.675
Ba 0.000 0.000 5.261
Re 1.706 2.144 3.468
Rh 1.706 2.144 0.000
```

Computed properties:
crystal system	orthorhombic

Version y
Computed, not measured: an optimized crystal structure of Ba2ReRh at the PBEsol level of DFT. Values from VASP.

```
&SYSTEM
  ibrav = 0, nat = 4, ntyp = 3
/
ATOMIC_SPECIES
Ba 137.33 Ba.upf
Re 186.21 Re.upf
Rh 102.91 Rh.upf
CELL_PARAMETERS angstrom
3.430 0.000 0.000
0.000 3.430 0.000
0.000 0.000 9.620
ATOMIC_POSITIONS angstrom
Ba 0.000 0.000 0.000
Ba 1.715 1.715 3.982
Re 0.000 0.000 6.431
Rh 1.715 1.715 7.242
```

Computed properties:
crystal system	tetragonal

The winner here is version w, beating the second structure by 95 meV per atom.

Version w
Computed, not measured: an optimized crystal structure of Ba2ScRe at the PBEsol level of DFT. Values from VASP.

```
&SYSTEM
  ibrav = 0, nat = 4, ntyp = 3
/
ATOMIC_SPECIES
Ba 137.33 Ba.upf
Sc 44.96 Sc.upf
Re 186.21 Re.upf
CELL_PARAMETERS angstrom
3.647 0.000 0.000
0.000 3.761 0.000
-0.763 0.000 9.227
ATOMIC_POSITIONS angstrom
Ba 0.000 0.000 0.000
Ba 1.248 1.881 5.513
Sc 3.046 0.000 3.148
Re 1.268 1.881 2.268
```

Computed properties:
crystal system	monoclinic

Version x
Computed, not measured: an optimized crystal structure of Ba2ScRe at the PBEsol level of DFT. Values from VASP.

```
&SYSTEM
  ibrav = 0, nat = 4, ntyp = 3
/
ATOMIC_SPECIES
Ba 137.33 Ba.upf
Sc 44.96 Sc.upf
Re 186.21 Re.upf
CELL_PARAMETERS angstrom
1.746 1.008 10.652
-1.746 1.008 10.652
0.000 -2.016 10.652
ATOMIC_POSITIONS angstrom
Ba 0.000 0.000 7.626
Ba 0.000 0.000 24.329
Sc 0.000 0.000 0.000
Re 0.000 0.000 15.978
```

Computed properties:
crystal system	trigonal

The winner here is version w, beating the second structure by 670 meV per atom.

Version w
Computed, not measured: an optimized crystal structure of BaSrRe2 at the PBEsol level of DFT. Values from VASP.

```
&SYSTEM
  ibrav = 0, nat = 4, ntyp = 3
/
ATOMIC_SPECIES
Ba 137.33 Ba.upf
Sr 87.62 Sr.upf
Re 186.21 Re.upf
CELL_PARAMETERS angstrom
2.828 -5.395 0.000
2.828 5.395 0.000
-0.293 0.000 2.848
ATOMIC_POSITIONS angstrom
Ba 0.000 0.000 0.000
Sr 2.828 0.000 0.000
Re 1.267 2.698 1.424
Re 1.267 -2.698 1.424
```

Computed properties:
crystal system	monoclinic

Version x
Computed, not measured: an optimized crystal structure of BaSrRe2 at the PBEsol level of DFT. Values from VASP.

```
&SYSTEM
  ibrav = 0, nat = 4, ntyp = 3
/
ATOMIC_SPECIES
Ba 137.33 Ba.upf
Sr 87.62 Sr.upf
Re 186.21 Re.upf
CELL_PARAMETERS angstrom
2.003 -2.015 0.000
2.003 2.015 0.000
0.000 0.000 10.851
ATOMIC_POSITIONS angstrom
Ba 0.000 0.000 0.000
Sr 0.000 0.000 5.426
Re 2.003 0.000 2.833
Re 2.003 0.000 8.018
```

Computed properties:
crystal system	orthorhombic

The winner here is version x, beating the second structure by 12 meV per atom.

Version w
Computed, not measured: an optimized crystal structure of BaSrRe2 at the PBEsol level of DFT. Values from VASP.

```
&SYSTEM
  ibrav = 0, nat = 4, ntyp = 3
/
ATOMIC_SPECIES
Ba 137.33 Ba.upf
Sr 87.62 Sr.upf
Re 186.21 Re.upf
CELL_PARAMETERS angstrom
1.486 0.858 11.284
-1.486 0.858 11.284
0.000 -1.716 11.284
ATOMIC_POSITIONS angstrom
Ba 0.000 0.000 0.000
Sr 0.000 0.000 16.926
Re 0.000 0.000 8.338
Re 0.000 0.000 25.513
```

Computed properties:
crystal system	trigonal

Version x
Computed, not measured: an optimized crystal structure of BaSrRe2 at the PBEsol level of DFT. Values from VASP.

```
&SYSTEM
  ibrav = 0, nat = 4, ntyp = 3
/
ATOMIC_SPECIES
Ba 137.33 Ba.upf
Sr 87.62 Sr.upf
Re 186.21 Re.upf
CELL_PARAMETERS angstrom
0.000 3.530 3.530
3.530 0.000 3.530
3.530 3.530 0.000
ATOMIC_POSITIONS angstrom
Ba 0.000 0.000 0.000
Sr 5.295 5.295 5.295
Re 1.765 1.765 1.765
Re 3.530 3.530 3.530
```

Computed properties:
crystal system	cubic

Version y
Computed, not measured: an optimized crystal structure of BaSrRe2 at the PBEsol level of DFT. Values from VASP.

```
&SYSTEM
  ibrav = 0, nat = 4, ntyp = 3
/
ATOMIC_SPECIES
Ba 137.33 Ba.upf
Sr 87.62 Sr.upf
Re 186.21 Re.upf
CELL_PARAMETERS angstrom
-1.884 2.706 5.469
1.884 -2.706 5.469
1.884 2.706 -5.469
ATOMIC_POSITIONS angstrom
Ba 0.000 0.000 0.000
Sr 0.000 2.706 2.385
Re 1.884 0.000 3.101
Re 0.000 0.000 4.504
```

Computed properties:
crystal system	orthorhombic

The winner here is version y, beating the second structure by 717 meV per atom.